(1)
Entry from the Alexandria database: a geometry-optimized AcPr2DyY structure (PBE).

## Properties
D(E_F) = 1.698 states/eV per atom
total magnetization = 0.000 μB/cell
final energy = -49.070 eV/cell
DFT formation energy = 0.0397 eV/atom

Cell and atoms, written as extended XYZ:
```
10
Lattice="-2.9197 -4.3236 -2.8532 4.7148 -0.2184 -4.4937 6.9327 -6.5587 2.8445" Properties=species:S:1:pos:R:3 pbc="T T T"
Ac 1.8840 -4.6885 -4.1177
Ac 6.8439 -6.4122 -0.3848
Pr 6.9873 -8.6494 -3.3377
Pr 1.7406 -2.4513 -1.1647
Pr 3.5847 -4.9856 0.7886
Pr 5.1432 -6.1151 -5.2910
Dy 3.6706 -7.2524 -2.0608
Dy 5.0573 -3.8483 -2.4417
Y 10.1604 -7.8208 -1.6440
Y -1.4326 -3.2799 -2.8585
```

(2)
Entry from the Alexandria database: a geometry-optimized Ca2BPd6Pb structure (PBE).

## Properties
D(E_F) = 0.400 states/eV per atom
total magnetization = 0.000 μB/cell
final energy = -101.474 eV/cell
DFT formation energy = -0.5191 eV/atom

Cell and atoms, written as extended XYZ:
```
20
Lattice="5.8229 0.0000 0.0000 0.0000 7.6349 0.0000 0.0000 0.0000 8.8116" Properties=species:S:1:pos:R:3 pbc="T T T"
Ca 2.9115 5.5446 2.4571
Ca 0.0000 2.0903 6.8629
Ca 2.9115 5.5446 6.3544
Ca 0.0000 2.0903 1.9487
B 2.9115 1.2876 4.4058
B 0.0000 6.3473 0.0000
Pd 2.9115 1.0454 2.3121
Pd 2.9115 1.0454 6.4995
Pd 0.0000 6.5894 2.0937
Pd 0.0000 6.5894 6.7179
Pd 1.3818 7.5108 4.4058
Pd 4.4411 7.5108 4.4058
Pd 1.4918 2.8090 4.4058
Pd 4.3311 2.8090 4.4058
Pd 4.4033 4.8259 0.0000
Pd 1.4196 4.8259 0.0000
Pd 1.5297 0.1241 0.0000
Pd 4.2933 0.1241 0.0000
Pb 0.0000 5.0462 4.4058
Pb 2.9115 2.5887 0.0000
```

(3)
Entry from the Alexandria database: a geometry-optimized Ca4Ge3BiPd12 structure (PBE).

## Properties
D(E_F) = 0.398 states/eV per atom
total magnetization = 0.000 μB/cell
final energy = -94.469 eV/cell
DFT formation energy = -0.3208 eV/atom

Cell and atoms, written as extended XYZ:
```
20
Lattice="-3.2064 7.4458 -1.9943 -2.1050 -1.9252 7.8461 8.3176 0.2848 -0.6596" Properties=species:S:1:pos:R:3 pbc="T T T"
Ca 1.5031 2.9027 2.5961
Ca 4.1588 0.1424 -0.3298
Ca -1.6032 3.7229 -0.9971
Ca -1.0525 -0.9626 3.9230
Ge 2.5556 3.8653 -1.3270
Ge -2.6557 2.7603 2.9259
Ge 3.1063 -0.8202 3.5932
Bi 0.0000 0.0000 0.0000
Pd 4.3841 1.1125 2.9297
Pd 3.7647 5.6941 -1.9548
Pd 1.3465 2.0365 -0.6991
Pd -1.3779 4.6930 2.2624
Pd -3.9122 4.0663 4.3102
Pd -1.3992 1.4543 1.5416
Pd 1.2278 5.2455 0.1360
Pd 1.7784 0.5600 5.0562
Pd 4.1087 3.4552 0.4696
Pd 4.5759 -1.2083 5.2933
Pd -1.1026 2.3502 4.7225
Pd 1.6366 -0.4321 1.8931
```